VASP calculation (GGA-PBE) on an optimized crystal structure of Pm2Tm5Tl.

Calculated values
ΔH_f (0 K) (eV per atom): 0.027
Symmetry: Immm (71)
Crystal system: orthorhombic
Energy above the lowest structure with this stoichiometry (meV/atom): 84.6

Unit cell a=8.8810 b=8.8810 c=8.8810 alpha=157.83 beta=111.74 gamma=72.75
With the nearest neighbours (Å) after each atom.
Fractional coordinates of all 8 atoms:
Pm 0.2254 0.2254 0.0000  7 Tm 3.22-3.46, 2 Pm 3.42
Pm 0.7746 0.7746 0.0000  7 Tm 3.22-3.46, 2 Pm 3.42
Tm 0.0000 0.0000 0.0000  2 Pm 3.22, 10 Tm 3.42-3.53
Tm 0.1418 0.3822 0.7597  3 Pm 3.28-3.46, 5 Tm 3.37-3.53, 2 Tl 3.39
Tm 0.3775 0.6178 0.7597  3 Pm 3.28-3.46, 5 Tm 3.37-3.53, 2 Tl 3.39
Tm 0.6225 0.3822 0.2403  3 Pm 3.28-3.46, 5 Tm 3.37-3.53, 2 Tl 3.39
Tm 0.8582 0.6178 0.2403  3 Pm 3.28-3.46, 5 Tm 3.37-3.53, 2 Tl 3.39
Tl 0.5000 0.0000 0.5000  8 Tm 3.39, 2 Tl 3.42

VASP calculation (GGA-PBE) on an optimized crystal structure of AcYAlIn.

Calculated values
ΔH_f (0 K) (eV per atom): -0.339
Symmetry: F-43m (216)
Crystal system: cubic

Unit cell a=5.4792 b=5.4792 c=5.4792 alpha=60.00 beta=60.00 gamma=60.00
With the nearest neighbours (Å) after each atom.
Fractional coordinates of all 4 atoms:
Ac 0.0000 0.0000 0.0000  4 In 3.36, 4 Al 3.36
Y 0.5000 0.5000 0.5000  4 In 3.36, 4 Al 3.36
Al 0.2500 0.2500 0.2500  4 Ac 3.36, 4 Y 3.36
In 0.7500 0.7500 0.7500  4 Ac 3.36, 4 Y 3.36

VASP calculation (GGA-PBE) on an optimized crystal structure of Li2ZrFe.

Calculated values
ΔH_f (0 K) (eV per atom): 0.238
Symmetry: P2/m (10)
Crystal system: monoclinic
Energy above the lowest structure with this stoichiometry (meV/atom): 63.2

Unit cell a=2.9740 b=5.0581 c=4.3647 alpha=90.00 beta=96.40 gamma=90.00
With the nearest neighbours (Å) after each atom.
Fractional coordinates of all 4 atoms:
Li 0.2068 0.0000 0.2773  3 Li 2.41-2.59
Li 0.7932 0.0000 0.7227  3 Li 2.41-2.59
Zr 0.5000 0.5000 0.0000  4 Fe 2.50-2.77
Fe 0.0000 0.5000 0.5000  4 Zr 2.50-2.77

VASP calculation (GGA-PBE) on an optimized crystal structure of ScCo3Br9.

Calculated values
Symmetry: Cc (9)
Crystal system: monoclinic
E_form (uncorrected) (eV/f.u.): -8.534

Unit cell a=10.1979 b=10.1979 c=13.0676 alpha=123.61 beta=123.61 gamma=53.75
With the nearest neighbours (Å) after each atom.
Fractional coordinates of all 26 atoms:
Sc 0.2310 0.7690 0.5000  6 Br 2.68-2.73
Sc 0.7690 0.2310 0.0000  6 Br 2.68-2.73
Co 0.0190 0.2538 0.8257  4 Br 2.38-2.42
Co 0.2538 0.0190 0.3257  4 Br 2.38-2.42
Co 0.2869 0.4364 0.6700  4 Br 2.39-2.42
Co 0.4364 0.2869 0.1700  4 Br 2.39-2.42
Co 0.6649 0.8001 0.2189  4 Br 2.38-2.43
Co 0.8001 0.6649 0.7189  4 Br 2.38-2.43
Br 0.0763 0.1940 0.1907  1 Co 2.39
Br 0.0936 0.9122 0.3228  1 Co 2.42, 1 Sc 2.68
Br 0.1679 0.4199 0.0221  2 Co 2.38-2.39
Br 0.1940 0.0763 0.6907  1 Co 2.39
Br 0.3091 0.6731 0.6919  1 Co 2.40
Br 0.3647 0.4324 0.3658  1 Co 2.42, 1 Sc 2.68
Br 0.4199 0.1679 0.5221  2 Co 2.38-2.39
Br 0.4324 0.3647 0.8658  1 Co 2.42, 1 Sc 2.68
Br 0.4639 0.7643 0.2306  2 Co 2.38
Br 0.5152 0.9830 0.0931  2 Co 2.40
Br 0.5255 0.7703 0.5559  1 Co 2.43, 1 Sc 2.68
Br 0.6731 0.3091 0.1919  1 Co 2.40
Br 0.7643 0.4639 0.7306  2 Co 2.38
Br 0.7703 0.5255 0.0559  1 Co 2.43, 1 Sc 2.68
Br 0.8195 0.9002 0.9232  1 Co 2.41
Br 0.9002 0.8195 0.4232  1 Co 2.41
Br 0.9122 0.0936 0.8228  1 Co 2.42, 1 Sc 2.68
Br 0.9830 0.5152 0.5931  2 Co 2.40

| no. | total magnetization (μB/f.u.) | density (Mg/m³) | total DFT energy (no corrections) (eV for the cell shown) |
| --- | --- | --- | --- |
| 1 | 0.0 | 9.136 | -34.0 |
| 2 | 0.0 | 6.534 | -18.4 |
| 3 | 1.2 | 4.096 | -19.9 |
| 4 | 9.0 | 3.636 | -102.5 |